Here is a PBEsol-optimized structure of MgAsAuSe2 from Alexandria via LeMat-Bulk. Energies are from meta-GGA SCAN.

**ρ**: 6.5 g/cm³
**N(E_F)**: 4.36 states/eV/f.u.
**Formation energy without anion corrections**: 631.5 meV/atom
**Uncorrected energy**: -26.264 eV per atom

Cell lengths 4.912, 4.874, 4.874 Å; angles 90.00, 90.00, 90.00 degrees
Element x y z (fractional)
As 0.500 0.000 0.000
Au 0.500 0.500 0.500
Mg 0.000 0.000 0.000
Se 0.000 0.000 0.500
Se 0.000 0.500 0.000

Here is a PBEsol-optimized structure of Mn2AsAu from Alexandria via LeMat-Bulk. Energies are from meta-GGA SCAN.

**ρ**: 10.6 g/cm³
**Calculated formation energy**: -219 meV/atom
**N(E_F)**: 1.67 states/eV/f.u.
**Uncorrected energy**: -31.684 eV per atom

Cell lengths 3.216, 3.216, 5.776 Å; angles 90.00, 90.00, 90.00 degrees
Each line ends with the local moment (μB).
Element x y z (fractional)
As 0.000 0.000 0.448  -0.17
Au 0.500 0.500 0.774  0.11
Mn 0.000 0.000 0.010  3.84
Mn 0.500 0.500 0.268  3.23

Here is a PBEsol-optimized structure of MnAs2Au from Alexandria via LeMat-Bulk. Energies are from meta-GGA SCAN.

**ρ**: 9.2 g/cm³
**Calculated formation energy**: -76 meV/atom
**N(E_F)**: 1.64 states/eV/f.u.
**Uncorrected energy**: -32.024 eV per atom
**Offset from the most stable computed form**: 0.00 eV/f.u.

Cell lengths 4.293, 4.293, 8.397 Å; angles 104.81, 104.81, 90.00 degrees
Each line ends with the local moment (μB).
Element x y z (fractional)
As 0.833 0.375 0.250  -0.10
As 0.417 0.875 0.250  -0.10
As 0.625 0.583 0.750  -0.10
As 0.125 0.167 0.750  -0.10
Mn 0.750 0.250 0.500  3.61
Mn 0.500 0.500 0.000  3.61
Au 0.250 0.750 0.500  0.01
Au 0.000 0.000 0.000  0.01

Here is a PBEsol-optimized structure of Mn3AsAu from Alexandria via LeMat-Bulk. Energies are from meta-GGA SCAN.

**ρ**: 6.6 g/cm³
**Calculated formation energy**: 397 meV/atom
**N(E_F)**: 3.28 states/eV/f.u.
**Uncorrected energy**: -28.426 eV per atom

Cell lengths 4.795, 4.795, 4.795 Å; angles 90.00, 90.00, 90.00 degrees
Each line ends with the local moment (μB).
Element x y z (fractional)
As 0.500 0.500 0.500  -0.25
Mn 0.000 0.500 0.000  4.24
Mn 0.000 0.000 0.500  4.24
Mn 0.500 0.000 0.000  4.24
Au 0.000 0.000 0.000  0.13

Here is a PBEsol-optimized structure of MnAs2Au from Alexandria via LeMat-Bulk. Energies are from meta-GGA SCAN.

**ρ**: 10.5 g/cm³
**Calculated formation energy**: 75 meV/atom
**N(E_F)**: 1.72 states/eV/f.u.
**Uncorrected energy**: -31.874 eV per atom
**Offset from the most stable computed form**: 0.60 eV/f.u.

Cell lengths 2.865, 2.855, 7.746 Å; angles 90.00, 90.00, 90.00 degrees
Element x y z (fractional)
As 0.500 0.000 0.687
As 0.500 0.000 0.313
Au 0.500 0.500 0.000
Mn 0.000 0.500 0.500

Here is a PBEsol-optimized structure of Mn2AsAu from Alexandria via LeMat-Bulk. Energies are from meta-GGA SCAN.

**ρ**: 10.6 g/cm³
**Calculated formation energy**: -188 meV/atom
**N(E_F)**: 3.86 states/eV/f.u.
**Uncorrected energy**: -31.652 eV per atom

Cell lengths 4.390, 4.390, 4.390 Å; angles 60.00, 60.00, 60.00 degrees
Each line ends with the local moment (μB).
Element x y z (fractional)
As 0.000 0.000 0.000  -0.10
Au 0.500 0.500 0.500  0.04
Mn 0.250 0.250 0.250  3.82
Mn 0.750 0.750 0.750  3.82

Here is a PBEsol-optimized structure of MnAs2Au from Alexandria via LeMat-Bulk. Energies are from meta-GGA SCAN.

**ρ**: 10.5 g/cm³
**Calculated formation energy**: 26 meV/atom
**N(E_F)**: 1.72 states/eV/f.u.
**Uncorrected energy**: -31.923 eV per atom
**Offset from the most stable computed form**: 0.41 eV/f.u.

Cell lengths 3.224, 3.272, 6.050 Å; angles 90.00, 90.00, 90.00 degrees
Each line ends with the local moment (μB).
Element x y z (fractional)
As 0.000 0.000 0.718  -0.11
As 0.000 0.000 0.282  -0.11
Au 0.500 0.500 0.000  -0.09
Mn 0.500 0.500 0.500  3.41

Here is a PBEsol-optimized structure of MnAsAu from Alexandria via LeMat-Bulk. Energies are from meta-GGA SCAN.

**ρ**: 11.5 g/cm³
**Calculated formation energy**: -114 meV/atom
**N(E_F)**: 1.13 states/eV/f.u.
**Uncorrected energy**: -35.982 eV per atom

Cell lengths 3.201, 3.201, 5.141 Å; angles 108.14, 108.14, 90.00 degrees
Each line ends with the local moment (μB).
Element x y z (fractional)
As 0.030 0.030 0.061  -0.19
Au 0.327 0.327 0.654  -0.01
Mn 0.642 0.642 0.285  3.61

Here is a PBEsol-optimized structure of Mn2AsAu from Alexandria via LeMat-Bulk. Energies are from meta-GGA SCAN.

**ρ**: 10.4 g/cm³
**Calculated formation energy**: -292 meV/atom
**N(E_F)**: 2.13 states/eV/f.u.
**Uncorrected energy**: -31.757 eV per atom

Cell lengths 3.399, 4.235, 4.235 Å; angles 90.00, 90.00, 90.00 degrees
Each line ends with the local moment (μB).
Element x y z (fractional)
As 0.500 0.500 0.500  -0.09
Au 0.500 0.000 0.000  0.07
Mn 0.000 0.000 0.500  4.01
Mn 0.000 0.500 0.000  4.01

Here is a PBEsol-optimized structure of MnAsAuSe2 from Alexandria via LeMat-Bulk. Energies are from meta-GGA SCAN.

**ρ**: 8.2 g/cm³
**N(E_F)**: 3.56 states/eV/f.u.
**Formation energy without anion corrections**: 428.8 meV/atom
**Uncorrected energy**: -29.123 eV per atom

Cell lengths 4.545, 4.657, 4.657 Å; angles 90.00, 90.00, 90.00 degrees
Each line ends with the local moment (μB).
Element x y z (fractional)
As 0.500 0.000 0.000  -0.16
Mn 0.000 0.000 0.000  2.98
Au 0.500 0.500 0.500  0.00
Se 0.000 0.000 0.500  0.07
Se 0.000 0.500 0.000  0.07

Here is a PBEsol-optimized structure of Mo3AsAu from Alexandria via LeMat-Bulk. Energies are from meta-GGA SCAN.

**ρ**: 10.0 g/cm³
**Calculated formation energy**: 1219 meV/atom
**N(E_F)**: 8.74 states/eV/f.u.
**Uncorrected energy**: -37.582 eV per atom

Cell lengths 4.532, 4.532, 4.532 Å; angles 90.00, 90.00, 90.00 degrees
Element x y z (fractional)
Mo 0.000 0.500 0.000
Mo 0.000 0.000 0.500
Mo 0.500 0.000 0.000
Au 0.500 0.500 0.500
As 0.000 0.000 0.000

Here is a PBEsol-optimized structure of Mo2AsAu from Alexandria via LeMat-Bulk. Energies are from meta-GGA SCAN.

**ρ**: 12.2 g/cm³
**Calculated formation energy**: 383 meV/atom
**N(E_F)**: 2.44 states/eV/f.u.
**Uncorrected energy**: -39.397 eV per atom

Cell lengths 3.839, 3.839, 4.278 Å; angles 90.00, 90.00, 90.00 degrees
Element x y z (fractional)
Mo 0.000 0.500 0.000
Mo 0.500 0.000 0.000
Au 0.000 0.000 0.500
As 0.500 0.500 0.500

Here is a PBEsol-optimized structure of Mo2AsAu from Alexandria via LeMat-Bulk. Energies are from meta-GGA SCAN.

**ρ**: 12.0 g/cm³
**Calculated formation energy**: 538 meV/atom
**N(E_F)**: 3.54 states/eV/f.u.
**Uncorrected energy**: -39.241 eV per atom

Cell lengths 4.495, 4.495, 4.495 Å; angles 60.00, 60.00, 60.00 degrees
Each line ends with the local moment (μB).
Element x y z (fractional)
Mo 0.000 0.000 0.000  1.16
Mo 0.750 0.750 0.750  -0.24
Au 0.250 0.250 0.250  0.08
As 0.500 0.500 0.500  0.03

Here is a PBEsol-optimized structure of AsAu2N from Alexandria via LeMat-Bulk. Energies are from meta-GGA SCAN.

**ρ**: 13.6 g/cm³
**N(E_F)**: 1.86 states/eV/f.u.
**Formation energy without anion corrections**: 1174.1 meV/atom
**Uncorrected energy**: -40.775 eV per atom

Cell lengths 4.368, 4.368, 4.368 Å; angles 60.00, 60.00, 60.00 degrees
Element x y z (fractional)
As 0.500 0.500 0.500
Au 0.250 0.250 0.250
Au 0.750 0.750 0.750
N 0.000 0.000 0.000

Here is a PBEsol-optimized structure of AsAu3N from Alexandria via LeMat-Bulk. Energies are from meta-GGA SCAN.

**ρ**: 13.7 g/cm³
**N(E_F)**: 3.02 states/eV/f.u.
**Formation energy without anion corrections**: 950.9 meV/atom
**Uncorrected energy**: -46.440 eV per atom

Cell lengths 4.348, 4.348, 4.348 Å; angles 90.00, 90.00, 90.00 degrees
Element x y z (fractional)
As 0.500 0.500 0.500
Au 0.000 0.500 0.000
Au 0.000 0.000 0.500
Au 0.500 0.000 0.000
N 0.000 0.000 0.000

Here is a PBEsol-optimized structure of AsAu2N2 from Alexandria via LeMat-Bulk. Energies are from meta-GGA SCAN.

**ρ**: 10.2 g/cm³
**N(E_F)**: 1.06 states/eV/f.u.
**Formation energy without anion corrections**: 738.7 meV/atom
**Uncorrected energy**: -34.679 eV per atom

Cell lengths 4.712, 4.712, 4.712 Å; angles 108.96, 108.96, 110.50 degrees
Element x y z (fractional)
As 0.000 0.000 0.000
Au 0.250 0.750 0.500
Au 0.750 0.250 0.500
N 0.394 0.394 0.000
N 0.606 0.606 0.000

Here is a PBEsol-optimized structure of AsAuNO2 from Alexandria via LeMat-Bulk. Energies are from meta-GGA SCAN.

**ρ**: 8.4 g/cm³
**N(E_F)**: 1.38 states/eV/f.u.
**Formation energy without anion corrections**: 1053.3 meV/atom
**Uncorrected energy**: -21.167 eV per atom

Cell lengths 3.950, 3.950, 4.004 Å; angles 90.00, 90.00, 90.00 degrees
Element x y z (fractional)
As 0.500 0.500 0.500
Au 0.000 0.000 0.000
O 0.000 0.500 0.000
O 0.500 0.000 0.000
N 0.000 0.000 0.500

Here is a PBEsol-optimized structure of As2AuSeN from Alexandria via LeMat-Bulk. Energies are from meta-GGA SCAN.

**ρ**: 9.0 g/cm³
**N(E_F)**: 1.88 states/eV/f.u.
**Formation energy without anion corrections**: 896.6 meV/atom
**Uncorrected energy**: -26.885 eV per atom

Cell lengths 4.388, 4.388, 4.197 Å; angles 90.00, 90.00, 90.00 degrees
Element x y z (fractional)
As 0.000 0.500 0.000
As 0.500 0.000 0.000
Au 0.500 0.500 0.500
Se 0.000 0.000 0.500
N 0.000 0.000 0.000

Here is a PBEsol-optimized structure of Na2As2Au from Alexandria via LeMat-Bulk. Energies are from meta-GGA SCAN.

**ρ**: 6.2 g/cm³
**Calculated formation energy**: -460 meV/atom
**N(E_F)**: 1.05 states/eV/f.u.
**Uncorrected energy**: -24.054 eV per atom

Cell lengths 4.761, 6.666, 6.666 Å; angles 90.00, 90.00, 90.00 degrees
Element x y z (fractional)
Na 0.500 0.173 0.673
Na 0.500 0.673 0.827
Na 0.500 0.827 0.327
Na 0.500 0.327 0.173
As 0.000 0.365 0.865
As 0.000 0.865 0.635
As 0.000 0.635 0.135
As 0.000 0.135 0.365
Au 0.000 0.000 0.000
Au 0.000 0.500 0.500

Here is a PBEsol-optimized structure of NaAs2Au2 from Alexandria via LeMat-Bulk. Energies are from meta-GGA SCAN.

**ρ**: 9.1 g/cm³
**Calculated formation energy**: -219 meV/atom
**N(E_F)**: 1.13 states/eV/f.u.
**Uncorrected energy**: -36.801 eV per atom

Cell lengths 4.433, 4.433, 6.145 Å; angles 111.14, 111.14, 90.00 degrees
Element x y z (fractional)
Na 0.000 0.000 0.000
As 0.384 0.384 0.768
As 0.616 0.616 0.232
Au 0.250 0.750 0.500
Au 0.750 0.250 0.500